Tl2MoBr4F2: relaxed, GGA+U. Values from VASP.

```
&SYSTEM
  ibrav = 0, nat = 9, ntyp = 4
/
ATOMIC_SPECIES
Br 79.90 Br.upf
F 19.00 F.upf
Tl 204.38 Tl.upf
Mo 95.94 Mo.upf
CELL_PARAMETERS angstrom
6.1304 0.0543 0.0369
1.4212 6.9089 0.1195
1.4212 2.6480 6.3824
ATOMIC_POSITIONS angstrom
Br 5.9344 4.6349 5.4848
Br 5.9344 6.8036 2.2973
Br 3.0383 4.9762 1.0540
Br 3.0383 2.8076 4.2416
F 1.8777 1.3239 0.9007
F 7.0950 8.2872 5.6381
Tl 5.6669 3.0682 2.0875
Tl 3.3058 6.5429 4.4514
Mo 3.0652 0.0271 0.0185
```

Computed properties:
Calculated volume = 29.7 Å³/atom
Crystal system = monoclinic
Calculated density = 5.3 g cm⁻³
DFT total energy = -0.1359 Ha/atom
M_tot = 1.999 μB/f.u.